{
  "formula": "Li5Ag2Hg2Pd",
  "functional": "GGA-PBE",
  "state": "relaxed",
  "formation_enthalpy_0k_ev_per_atom": -0.22,
  "lattice_angstrom": [[3.2412, 0.0000, 0.0000], [0.0000, 10.4081, 0.0000], [0.0000, 0.0000, 10.4081]],
  "species": ["Li", "Li", "Li", "Li", "Li", "Li", "Li", "Li", "Li", "Li", "Hg", "Hg", "Hg", "Hg", "Ag", "Ag", "Ag", "Ag", "Pd", "Pd"],
  "fractional_positions": [[0.5000, 0.5000, 0.0000], [0.5000, 0.3064, 0.4889], [0.5000, 0.0111, 0.1936], [0.5000, 0.4889, 0.6936], [0.5000, 0.6936, 0.5111], [0.5000, 0.9889, 0.8064], [0.5000, 0.5111, 0.3064], [0.5000, 0.1936, 0.9889], [0.5000, 0.8064, 0.0111], [0.5000, 0.0000, 0.5000], [0.0000, 0.1575, 0.6575], [0.0000, 0.3425, 0.1575], [0.0000, 0.8425, 0.3425], [0.0000, 0.6575, 0.8425], [0.0000, 0.6503, 0.1503], [0.0000, 0.8497, 0.6503], [0.0000, 0.1503, 0.3497], [0.0000, 0.3497, 0.8497], [0.0000, 0.0000, 0.0000], [0.0000, 0.5000, 0.5000]]
}